Entry 1:
GGA-PBE Ir2Rh, optimized geometry; energy of formation = 0.04 eV/atom; DOS at the Fermi energy = 3.494 states/eV/f.u.; calculated volume = 86.8 Å³/cell
1.0
5.232 0.008 0.013
4.515 2.643 0.013
-8.128 -2.210 6.270
Ir Rh
4 2
Cartesian
-2.177 -0.592 4.204
1.196 0.325 2.455
-4.780 -1.300 4.516
1.594 0.434 6.290
7.103 1.932 0.362
3.814 1.037 2.113

***

Entry 2:
GGA-PBE K2FeBr5, optimized geometry; DOS at the Fermi energy = 1.268 states/eV/f.u.; formation energy without anion corrections = -8.159 eV/f.u.; calculated volume = 649.7 Å³/cell
1.0
5.867 0.000 0.000
-2.934 7.863 0.000
0.000 0.000 14.084
Br K Fe
10 4 2
Cartesian
2.934 7.022 12.311
0.000 0.841 5.269
0.000 0.841 1.773
2.934 2.917 3.521
2.934 7.022 8.815
2.934 3.486 8.764
0.000 4.377 1.722
2.934 3.486 12.362
0.000 4.377 5.320
0.000 4.946 10.563
2.934 5.422 1.127
0.000 2.441 12.957
2.934 5.422 5.915
0.000 2.441 8.169
2.934 5.304 10.563
0.000 2.559 3.521

***

Entry 3:
GGA-PBE Na2Hf2NpS6, optimized geometry; DOS at the Fermi energy = 10.331 states/eV/f.u.; formation energy without anion corrections = -16.078 eV/f.u.; calculated volume = 252.5 Å³/cell
1.0
6.555 -0.054 0.068
-3.287 5.671 0.068
-1.151 -1.979 6.777
S Na Np Hf
6 2 1 2
Cartesian
-1.765 0.976 4.893
0.597 1.026 1.948
1.520 2.612 4.965
3.882 2.662 2.020
1.721 -1.052 4.893
0.396 4.690 2.020
-1.680 4.736 0.068
4.948 0.880 0.068
-0.576 -0.989 3.388
2.695 0.867 3.457
-0.578 2.771 3.457

***

Entry 4:
GGA-PBE Sr2CuCl8, optimized geometry; DOS at the Fermi energy = 4.870 states/eV/f.u.; formation energy without anion corrections = -15.040 eV/f.u.; calculated volume = 363.8 Å³/cell
1.0
-3.499 1.989 -4.169
-8.527 -2.415 6.006
4.539 5.092 2.647
Cl Sr Cu
8 2 1
Cartesian
-4.053 3.730 5.181
-1.927 2.609 2.862
-1.305 3.045 -1.479
-6.183 1.620 5.963
-3.435 0.936 -0.698
-5.742 -1.529 4.091
-1.746 6.194 0.393
-5.561 2.056 1.622
-3.360 3.767 0.590
-4.127 0.898 3.893
-1.750 0.994 -2.084

***

Entry 5:
GGA-PBE CaP2Os, optimized geometry; energy of formation = -0.60 eV/atom; DOS at the Fermi energy = 0.790 states/eV/f.u.; calculated volume = 70.0 Å³/cell
1.0
4.035 -0.004 0.010
2.023 3.491 0.010
2.004 1.154 4.976
P Ca Os
2 1 1
Cartesian
4.033 2.321 1.962
6.056 3.486 0.556
6.047 3.480 3.747
2.016 1.160 1.249

***

Entry 6:
GGA-PBE DyErPu2, optimized geometry; energy of formation = 0.17 eV/atom; DOS at the Fermi energy = 14.231 states/eV/f.u.; calculated volume = 115.8 Å³/cell
1.0
3.391 0.000 0.000
0.000 3.391 0.000
0.000 0.000 10.067
Pu Dy Er
2 1 1
Cartesian
0.000 0.000 2.530
0.000 0.000 7.537
1.696 1.696 0.000
1.696 1.696 5.034